[1]
Density functional theory data (PBE) for crystalline Cr2AgOs at its relaxed geometry.

The structure in extended XYZ format:
```
4
Lattice="5.1699 -0.0047 -0.0100 2.4599 4.5472 0.0100 -3.2668 -3.1919 2.4225" Properties=species:S:1:pos:R:3 pbc="T T T"
Ag 1.4525 1.7827 1.2162
Cr 7.4413 4.4302 0.0000
Cr 2.9176 -0.4278 1.2062
Os 3.9963 2.3792 0.0000
```

Summary:
crystal system	orthorhombic
M_tot	0.105	μB/atom
E_form	0.492	eV per atom

***

[2]
Density functional theory data (PBE) for crystalline Pr2Zn3Pt4Au at its relaxed geometry.

The structure in extended XYZ format:
```
10
Lattice="-3.6017 1.9917 0.4641 0.3792 -0.2732 4.1153 5.5724 10.0413 0.1532" Properties=species:S:1:pos:R:3 pbc="T T T"
Pr -0.4367 3.4540 0.2696
Pr 4.3979 7.4465 2.1733
Zn 2.7862 5.0206 0.0766
Zn 3.0539 9.7440 0.3655
Zn 0.9072 1.1565 2.0774
Pt -1.6112 0.8592 2.2897
Pt 0.0000 0.0000 0.0000
Pt 1.8502 7.5748 0.3324
Pt 2.1110 3.3257 2.1105
Au 1.1750 5.8799 2.3663
```

Summary:
crystal system	tetragonal
M_tot	0.000	μB/atom
E_form	-0.736	eV per atom

***

[3]
Density functional theory data (PBE) for crystalline PaCd2 at its relaxed geometry.

The structure in extended XYZ format:
```
3
Lattice="3.0134 0.0000 0.0000 0.0000 3.0134 0.0000 -1.5067 -1.5067 7.5566" Properties=species:S:1:pos:R:3 pbc="T T T"
Pa 0.0000 0.0000 0.0000
Cd 1.5067 1.5067 2.6001
Cd 0.0000 0.0000 4.9566
```

Summary:
crystal system	tetragonal
M_tot	0.118	μB/atom
E_form	0.075	eV per atom
energy above the lowest structure with this stoichiometry	0.00	eV/f.u.

***

- M_tot of number 1 (Cr2AgOs)?
  0.105 μB/atom